# SrSc2Bi PBE-GGA optimized geometry
# ΔH_f (0 K), eV per atom: 0.165
# DOS(E_F), states/eV/cell: 18.411
# Total moment, μB per atom: 0.000
data_SrSc2Bi
_chemical_formula_sum 'Sr4 Sc8 Bi4'
_symmetry_space_group_name_H-M 'I 41/a m d'
_symmetry_Int_Tables_number 141
_cell_length_a 5.1978
_cell_length_b 5.1978
_cell_length_c 21.6213
_cell_angle_alpha 90.00
_cell_angle_beta 90.00
_cell_angle_gamma 90.00
loop_
_symmetry_equiv_pos_as_xyz
'x,y,z'
'-x,-y,-z'
'-y+1/4,x+3/4,z+1/4'
'y+1/4,-x+3/4,-z+1/4'
'-x+1/2,-y,z+1/2'
'x+1/2,y,-z+1/2'
'y+1/4,-x+1/4,z+3/4'
'-y+1/4,x+1/4,-z+3/4'
'x,-y,-z'
'-x,y,z'
'-y+1/4,-x+1/4,-z+3/4'
'y+1/4,x+1/4,z+3/4'
'-x+1/2,y,-z+1/2'
'x+1/2,-y,z+1/2'
'y+1/4,x+3/4,-z+1/4'
'-y+1/4,-x+3/4,z+1/4'
'x+1/2,y+1/2,z+1/2'
'-x+1/2,-y+1/2,-z+1/2'
'-y+3/4,x+1/4,z+3/4'
'y+3/4,-x+1/4,-z+3/4'
'-x,-y+1/2,z'
'x,y+1/2,-z'
'y+3/4,-x+3/4,z+1/4'
'-y+3/4,x+3/4,-z+1/4'
'x+1/2,-y+1/2,-z+1/2'
'-x+1/2,y+1/2,z+1/2'
'-y+3/4,-x+3/4,-z+1/4'
'y+3/4,x+3/4,z+1/4'
'-x,y+1/2,-z'
'x,-y+1/2,z'
'y+3/4,x+1/4,-z+3/4'
'-y+3/4,-x+1/4,z+3/4'
loop_
_atom_site_label
_atom_site_type_symbol
_atom_site_fract_x
_atom_site_fract_y
_atom_site_fract_z
Sr1 Sr 0.0000 0.2500 0.3750
Sc1 Sc 0.0000 0.0000 0.0000
Bi1 Bi 0.0000 0.2500 0.8750